<a>
This record from OQMD via LeMat-Bulk describes crystalline RbPdAu at its relaxed geometry. The functional is PBE.

Structure (POSCAR):
```
RbPdAu
1.0
-3.3286 -3.8699 0.5812
-3.7719 -0.6796 -3.4211
0.1353 -4.0086 -3.2103
Rb Au Pd
1 1 1
Direct
0.0000 0.0000 0.0000 Rb
0.2500 0.2500 0.2500 Au
0.7500 0.7500 0.7500 Pd
```

Results
Symmetry = F-43m, No. 216

<b>
This record from OQMD via LeMat-Bulk describes crystalline RbPdAu at its relaxed geometry. The functional is PBE.

Structure (POSCAR):
```
RbPdAu
1.0
-1.4054 -2.5575 3.9705
0.3082 2.0346 4.4773
-4.1023 1.2638 2.4196
Pd Au Rb
1 1 1
Direct
0.0000 0.0000 0.0000 Pd
0.2500 0.2500 0.2500 Au
0.7500 0.7500 0.7500 Rb
```

Results
Symmetry = F-43m, No. 216

Which one sits at the bottom of the stability order? <a> does.